1.
DFT (PBE) results for a geometry-optimized MnHgMo structure.

## Properties
Total moment in Bohr magnetons per cell: 5.4

```
data_MnHgMo
_space_group_name_H-M_alt 'F -4 3 m'
_space_group_IT_number 216
_space_group_name_Hall 'F -4 2 3'
_cell_length_a 6.057
_cell_length_b 6.057
_cell_length_c 6.057
_cell_angle_alpha 90.00
_cell_angle_beta 90.00
_cell_angle_gamma 90.00
loop_
_atom_site_label
_atom_site_fract_x
_atom_site_fract_y
_atom_site_fract_z
Mn1 0.000 0.000 0.000
Hg1 0.250 0.250 0.250
Mo1 0.250 0.250 0.750
```

---

2.
DFT (PBE) results for a geometry-optimized MnHgMo2 structure.

## Properties
Total moment in Bohr magnetons per cell: 2.9

```
data_MnHgMo2
_space_group_name_H-M_alt 'P 4 m m'
_space_group_IT_number 99
_cell_length_a 3.224
_cell_length_b 3.224
_cell_length_c 6.368
_cell_angle_alpha 90.00
_cell_angle_beta 90.00
_cell_angle_gamma 90.00
loop_
_space_group_symop_operation_xyz
'x,y,z'
'-y,x,z'
'-x,-y,z'
'y,-x,z'
'-x,y,z'
'y,x,z'
'x,-y,z'
'-y,-x,z'
loop_
_atom_site_label
_atom_site_fract_x
_atom_site_fract_y
_atom_site_fract_z
Mn1 0.000 0.000 0.000
Hg1 0.500 0.500 0.742
Mo1 0.000 0.000 0.445
Mo2 0.500 0.500 0.227
```

---

3.
DFT (PBE) results for a geometry-optimized MnHg2Mo structure.

## Properties
Total moment in Bohr magnetons per cell: 2.1

```
data_MnHg2Mo
_space_group_name_H-M_alt 'R 3 m'
_space_group_IT_number 160
_space_group_name_Hall 'R 3 -2"'
_cell_length_a 3.0818
_cell_length_b 3.0818
_cell_length_c 27.6344
_cell_angle_alpha 90.00
_cell_angle_beta 90.00
_cell_angle_gamma 120.00
loop_
_atom_site_label
_atom_site_fract_x
_atom_site_fract_y
_atom_site_fract_z
Mn1 0.0000 0.0000 0.0000
Hg1 0.0000 0.0000 0.2494
Hg2 0.0000 0.0000 0.4806
Mo1 0.0000 0.0000 0.7218
```

---

4.
DFT (PBE) results for a geometry-optimized Mn2HgMo structure.

## Properties
Total moment in Bohr magnetons per cell: 0.2

```
data_Mn2HgMo
_space_group_name_H-M_alt 'P m m 2'
_space_group_IT_number 25
_cell_length_a 2.756
_cell_length_b 3.357
_cell_length_c 6.565
_cell_angle_alpha 90.00
_cell_angle_beta 90.00
_cell_angle_gamma 90.00
loop_
_space_group_symop_operation_xyz
'x,y,z'
'-x,-y,z'
'-x,y,z'
'x,-y,z'
loop_
_atom_site_label
_atom_site_fract_x
_atom_site_fract_y
_atom_site_fract_z
Mn1 0.000 0.000 0.000
Mn2 0.500 0.500 0.152
Hg1 0.500 0.500 0.709
Mo1 0.000 0.000 0.390
```

---

5.
DFT (PBE) results for a geometry-optimized MnHgMo2 structure.

## Properties
Total moment in Bohr magnetons per cell: 3.4

```
data_MnHgMo2
_space_group_name_H-M_alt 'I m m m'
_space_group_IT_number 71
_space_group_name_Hall '-I 2 2'
_cell_length_a 3.260
_cell_length_b 4.347
_cell_length_c 9.028
_cell_angle_alpha 90.00
_cell_angle_beta 90.00
_cell_angle_gamma 90.00
loop_
_atom_site_label
_atom_site_fract_x
_atom_site_fract_y
_atom_site_fract_z
Mn1 0.000 0.000 0.000
Hg1 0.000 0.000 0.500
Mo1 0.000 0.500 0.268
```

---

6.
DFT (PBE) results for a geometry-optimized MnHg2Mo structure.

## Properties
Total moment in Bohr magnetons per cell: 6.3

```
data_MnHg2Mo
_space_group_name_H-M_alt 'F -4 3 m'
_space_group_IT_number 216
_space_group_name_Hall 'F -4 2 3'
_cell_length_a 6.641
_cell_length_b 6.641
_cell_length_c 6.641
_cell_angle_alpha 90.00
_cell_angle_beta 90.00
_cell_angle_gamma 90.00
loop_
_atom_site_label
_atom_site_fract_x
_atom_site_fract_y
_atom_site_fract_z
Mn1 0.000 0.000 0.000
Hg1 0.000 0.000 0.500
Hg2 0.250 0.250 0.250
Mo1 0.250 0.250 0.750
```

---

| no. | electronic total energy (eV for the cell shown) | formation enthalpy at 0 K (eV per atom) |
| --- | --- | --- |
| 1 | -71.89 | 0.777 |
| 2 | -29.89 | 0.312 |
| 3 | -56.71 | 0.425 |
| 4 | -27.93 | 0.386 |
| 5 | -58.79 | 0.435 |
| 6 | -71.94 | 0.655 |